CsMoAs2Se: relaxed, PBE.

Computed properties:
* density of states at the Fermi level: 0.86 states/eV/atom
* ΔE to the lowest computed polymorph: 2.222 eV/atom
* E_form (uncorrected): 2.151 eV/atom
* total magnetic moment: 0.56 μB/atom

Unit cell a=5.761 b=5.761 c=5.502 alpha=90.00 beta=90.00 gamma=90.00
Element x y z (fractional)
Cs  0.000  0.000  0.000
Mo  0.500  0.500  0.500
As  0.000  0.500  0.000
As  0.500  0.000  0.000
Se  0.000  0.000  0.500